(1)
Compound: Pm2Ga3Ru
Source: Alexandria via LeMat-Bulk
Functional: PBE
Structure: relaxed

a b c (Å): 4.2810 5.7737 5.9625
angles (deg): 76.52 68.96 68.24
With the nearest neighbours (Å) after each atom.
Atoms (fractional coordinates):
Pm1 0.5549 0.2032 0.6871  9 Ga 3.07-3.37, 2 Ru 3.09
Pm2 0.4496 0.8033 0.2975  8 Ga 3.09-3.37, 3 Ru 3.09-3.13
Ga1 0.8464 0.6129 0.6943  3 Ga 2.59-2.84, 1 Ru 2.60
Ga2 0.8228 0.2475 0.1068  2 Ru 2.56, 1 Ga 2.84
Ga3 0.1727 0.7470 0.9076  2 Ga 2.59, 1 Ru 2.77
Ru1 0.1536 0.3862 0.3066  4 Ga 2.56-2.77

Results
Energy of formation from the pure elements: -53.9 kJ/mol of atoms
SG: Cm, No. 8
Offset from the most stable computed form: 0.0 meV/atom


(2)
Compound: MgZnS2
Source: Alexandria via LeMat-Bulk
Functional: PBE
Structure: relaxed

a b c (Å): 3.9372 3.9372 5.5801
angles (deg): 90.00 90.00 90.00
With the nearest neighbours (Å) after each atom.
Atoms (fractional coordinates):
Mg1 0.0000 0.0000 0.0000  4 S 2.45
Zn1 0.5000 0.5000 0.5000  4 S 2.38
S1 0.0000 0.5000 0.2615  2 Zn 2.38, 2 Mg 2.45
S2 0.5000 0.0000 0.7385  2 Zn 2.38, 2 Mg 2.45

Results
SG: P-4m2, No. 115
Formation energy (no corrections): -4.4 eV/f.u.


(3)
Compound: Sc3I3N
Source: Alexandria via LeMat-Bulk
Functional: PBE
Structure: relaxed

a b c (Å): 6.3699 6.3699 11.3180
angles (deg): 73.66 73.66 60.00
With the nearest neighbours (Å) after each atom.
Atoms (fractional coordinates):
Sc1 0.9635 0.3234 0.1092  2 N 2.35-2.36
Sc2 0.6038 0.9635 0.1092  2 N 2.35-2.36
Sc3 0.3234 0.6038 0.1092  2 N 2.35-2.36
Sc4 0.6766 0.3962 0.8908  2 N 2.35-2.36
Sc5 0.3962 0.0365 0.8908  2 N 2.35-2.36
Sc6 0.0365 0.6766 0.8908  2 N 2.35-2.36
I1 0.2280 0.9010 0.2969  3 Sc 2.83-2.98
I2 0.5740 0.2280 0.2969  3 Sc 2.83-2.98
I3 0.9010 0.5740 0.2969  3 Sc 2.83-2.98
I4 0.0990 0.4260 0.7031  3 Sc 2.83-2.98
I5 0.4260 0.7720 0.7031  3 Sc 2.83-2.98
I6 0.7720 0.0990 0.7031  3 Sc 2.83-2.98
N1 0.6667 0.6667 0.0000  6 Sc 2.35-2.36
N2 0.3333 0.3333 0.0000  6 Sc 2.35-2.36

Results
SG: R-3, No. 148
Formation energy (no corrections): -7.9 eV/f.u.


(4)
Compound: MgCoPt2
Source: Alexandria via LeMat-Bulk
Functional: PBE
Structure: relaxed

a b c (Å): 9.0208 9.0208 9.0208
angles (deg): 17.71 17.71 17.71
With the nearest neighbours (Å) after each atom.
Atoms (fractional coordinates):
Co1 0.5003 0.5003 0.5003  3 Pt 2.61, 3 Mg 2.70, 6 Co 2.78
Mg1 0.7521 0.7521 0.7521  3 Co 2.70, 3 Pt 2.71, 6 Mg 2.78
Pt1 0.0033 0.0033 0.0033  3 Mg 2.71, 9 Pt 2.78-2.93
Pt2 0.2443 0.2443 0.2443  3 Co 2.61, 6 Pt 2.78

Results
Energy of formation from the pure elements: -14.1 kJ/mol of atoms
SG: R3m, No. 160


(5)
Compound: RbY2AgMo
Source: Alexandria via LeMat-Bulk
Functional: PBE
Structure: relaxed

a b c (Å): 5.4488 5.1367 5.4488
angles (deg): 90.00 90.00 90.00
With the nearest neighbours (Å) after each atom.
Atoms (fractional coordinates):
Y1 0.0000 0.0000 0.5000  2 Rb 2.72
Y2 0.5000 0.0000 0.0000  2 Rb 2.72
Mo1 0.5000 0.5000 0.5000  8 Y 3.74, 4 Ag 3.85
Rb1 0.0000 0.0000 0.0000  2 Ag 2.57, 4 Y 2.72
Ag1 0.0000 0.5000 0.0000  2 Rb 2.57

Results
Energy of formation from the pure elements: 191.3 kJ/mol of atoms
SG: P4/mmm, No. 123


(6)
Compound: GaTeMo2
Source: Alexandria via LeMat-Bulk
Functional: PBE
Structure: relaxed

a b c (Å): 4.5724 4.5724 4.5724
angles (deg): 60.00 60.00 60.00
With the nearest neighbours (Å) after each atom.
Atoms (fractional coordinates):
Mo1 0.2500 0.2500 0.2500  4 Te 2.80, 4 Ga 2.80
Mo2 0.7500 0.7500 0.7500  4 Te 2.80, 4 Ga 2.80
Te1 0.5000 0.5000 0.5000  8 Mo 2.80
Ga1 0.0000 0.0000 0.0000  8 Mo 2.80

Results
SG: Fm-3m, No. 225
Formation energy (no corrections): 1.2 eV/f.u.
Offset from the most stable computed form: 0.0 meV/atom


(7)
Compound: PrZnPd4
Source: Alexandria via LeMat-Bulk
Functional: PBE
Structure: relaxed

a b c (Å): 4.1159 7.0465 7.5166
angles (deg): 90.00 90.00 90.00
With the nearest neighbours (Å) after each atom.
Atoms (fractional coordinates):
Pr1 0.0000 0.6550 0.7500  8 Pd 2.99-3.07, 1 Zn 3.01
Pr2 0.0000 0.3450 0.2500  8 Pd 2.99-3.07, 1 Zn 3.01
Zn1 0.0000 0.2284 0.7500  6 Pd 2.47-2.60
Zn2 0.0000 0.7716 0.2500  6 Pd 2.47-2.60
Pd1 0.0000 0.0000 0.5000  2 Zn 2.47
Pd2 0.0000 0.0000 0.0000  2 Zn 2.47
Pd3 0.5000 0.9634 0.7500  2 Zn 2.78, 8 Pd 2.80-2.97, 2 Pr 2.99
Pd4 0.5000 0.0366 0.2500  2 Zn 2.78, 8 Pd 2.80-2.97, 2 Pr 2.99
Pd5 0.5000 0.6918 0.0520  2 Zn 2.60, 2 Pd 2.81-2.85
Pd6 0.5000 0.3082 0.9480  2 Zn 2.60, 2 Pd 2.81-2.85
Pd7 0.5000 0.6918 0.4480  2 Zn 2.60, 2 Pd 2.81-2.85
Pd8 0.5000 0.3082 0.5520  2 Zn 2.60, 2 Pd 2.81-2.85

Results
Energy of formation from the pure elements: -56.5 kJ/mol of atoms
SG: Pmma, No. 51


(8)
Compound: ScSiPb2
Source: Alexandria via LeMat-Bulk
Functional: PBE
Structure: relaxed

a b c (Å): 8.3467 8.3467 8.3467
angles (deg): 27.42 27.42 27.42
With the nearest neighbours (Å) after each atom.
Atoms (fractional coordinates):
Pb1 0.0216 0.0216 0.0216  3 Si 2.81
Pb2 0.2427 0.2427 0.2427  3 Sc 3.26, 3 Pb 3.54
Sc1 0.4797 0.4797 0.4797  3 Si 2.67
Si1 0.7560 0.7560 0.7560  3 Sc 2.67, 3 Pb 2.81

Results
SG: R3m, No. 160
Formation energy (no corrections): 0.0 eV/f.u.


(9)
Compound: Re2TcAg
Source: Alexandria via LeMat-Bulk
Functional: PBE
Structure: relaxed

a b c (Å): 3.3151 3.3151 5.8173
angles (deg): 90.00 90.00 90.00
With the nearest neighbours (Å) after each atom.
Atoms (fractional coordinates):
Ag1 0.5000 0.5000 0.7500  8 Re 2.87, 2 Tc 2.91
Re1 0.0000 0.0000 0.0354  1 Re 2.50, 4 Tc 2.66
Re2 0.0000 0.0000 0.4646  1 Re 2.50, 4 Tc 2.66
Tc1 0.5000 0.5000 0.2500  8 Re 2.66, 2 Ag 2.91

Results
Energy of formation from the pure elements: 65.2 kJ/mol of atoms
SG: P4/mmm, No. 123
Offset from the most stable computed form: 423.6 meV/atom


(10)
Compound: Er2ZnSi3Ni12
Source: Alexandria via LeMat-Bulk
Functional: PBE
Structure: relaxed

a b c (Å): 6.2426 6.2426 6.2426
angles (deg): 84.40 84.40 84.40
With the nearest neighbours (Å) after each atom.
Atoms (fractional coordinates):
Er1 0.6541 0.6541 0.6541  9 Ni 2.50-2.75
Er2 0.3459 0.3459 0.3459  9 Ni 2.50-2.75
Zn1 0.0000 0.0000 0.0000  6 Ni 2.37
Si1 0.5000 0.0000 0.0000  6 Ni 2.27-2.48
Si2 0.0000 0.5000 0.0000  6 Ni 2.27-2.48
Si3 0.0000 0.0000 0.5000  6 Ni 2.27-2.48
Ni1 0.3858 0.3858 0.9016  2 Ni 2.35-2.58, 2 Si 2.48
Ni2 0.8131 0.8131 0.2978  1 Si 2.27, 3 Ni 2.35-2.42, 1 Zn 2.37, 1 Er 2.50
Ni3 0.2978 0.8131 0.8131  1 Si 2.27, 3 Ni 2.35-2.42, 1 Zn 2.37, 1 Er 2.50
Ni4 0.9016 0.3858 0.3858  2 Ni 2.35-2.58, 2 Si 2.48
Ni5 0.8131 0.2978 0.8131  1 Si 2.27, 3 Ni 2.35-2.42, 1 Zn 2.37, 1 Er 2.50
Ni6 0.3858 0.9016 0.3858  2 Ni 2.35-2.58, 2 Si 2.48
Ni7 0.6142 0.6142 0.0984  2 Ni 2.35-2.58, 2 Si 2.48
Ni8 0.1869 0.1869 0.7022  1 Si 2.27, 3 Ni 2.35-2.42, 1 Zn 2.37, 1 Er 2.50
Ni9 0.7022 0.1869 0.1869  1 Si 2.27, 3 Ni 2.35-2.42, 1 Zn 2.37, 1 Er 2.50
Ni10 0.0984 0.6142 0.6142  2 Ni 2.35-2.58, 2 Si 2.48
Ni11 0.1869 0.7022 0.1869  1 Si 2.27, 3 Ni 2.35-2.42, 1 Zn 2.37, 1 Er 2.50
Ni12 0.6142 0.0984 0.6142  2 Ni 2.35-2.58, 2 Si 2.48

Results
SG: R-3m, No. 166
Formation energy (no corrections): -3.7 eV/f.u.


(11)
Compound: NdHoS2
Source: Alexandria via LeMat-Bulk
Functional: PBE
Structure: relaxed

a b c (Å): 3.9463 3.9463 6.9762
angles (deg): 73.51 73.51 60.15
With the nearest neighbours (Å) after each atom.
Atoms (fractional coordinates):
Nd1 0.5000 0.5000 0.5000  6 S 2.88
Ho1 0.0000 0.0000 0.0000  6 S 2.74-2.75
S1 0.7441 0.7441 0.7682  3 Ho 2.74-2.75, 3 Nd 2.88
S2 0.2559 0.2559 0.2318  3 Ho 2.74-2.75, 3 Nd 2.88

Results
SG: C2/m, No. 12
Formation energy (no corrections): -8.0 eV/f.u.
Offset from the most stable computed form: 0.0 meV/atom


(12)
Compound: Rb3Dy2TmTe6
Source: Alexandria via LeMat-Bulk
Functional: PBE
Structure: relaxed

a b c (Å): 7.8140 7.8140 8.9374
angles (deg): 98.38 98.38 120.00
With the nearest neighbours (Å) after each atom.
Atoms (fractional coordinates):
Rb1 0.1675 0.8325 0.5000  6 Te 3.66-3.67
Rb2 0.8325 0.1675 0.5000  6 Te 3.66-3.67
Rb3 0.5000 0.5000 0.5000  6 Te 3.66-3.68
Dy1 0.3335 0.6665 0.0000  6 Te 3.12
Dy2 0.6665 0.3335 0.0000  6 Te 3.12
Tm1 0.0000 0.0000 0.0000  6 Te 3.09
Te1 0.9339 0.6033 0.8017  1 Tm 3.09, 2 Dy 3.12
Te2 0.7357 0.7357 0.1986  1 Tm 3.09, 2 Dy 3.12
Te3 0.0661 0.3967 0.1983  1 Tm 3.09, 2 Dy 3.12
Te4 0.6033 0.9339 0.8017  1 Tm 3.09, 2 Dy 3.12
Te5 0.2643 0.2643 0.8014  1 Tm 3.09, 2 Dy 3.12
Te6 0.3967 0.0661 0.1983  1 Tm 3.09, 2 Dy 3.12

Results
SG: C2/m, No. 12
Formation energy (no corrections): -16.5 eV/f.u.